{"formula": "SrLiCoMo", "functional": "PBE", "state": "optimized geometry", "space_group": "F-43m, No. 216", "e_above_lowest_polymorph_ev_per_atom": 0.347, "magmom_total_mub_per_fu": 4.31, "cell": [[1.0429, -3.3370, -3.3341], [1.3619, -4.4310, 1.3607], [-2.9676, -3.7524, -0.6728]], "species": ["Sr", "Mo", "Li", "Co"], "fractional_positions": [[0.2500, 0.2500, 0.2500], [0.0000, 0.0000, 0.0000], [0.7500, 0.7500, 0.7500], [0.5000, 0.5000, 0.5000]]}


{"formula": "ScTcBi", "functional": "PBE", "state": "optimized geometry", "space_group": "F-43m, No. 216", "e_above_lowest_polymorph_ev_per_atom": 0.000, "magmom_total_mub_per_fu": 0.00, "cell": [[3.3745, 0.8806, 2.9929], [0.5808, 4.2614, 1.6197], [-1.0054, 0.9493, 4.3827]], "species": ["Sc", "Tc", "Bi"], "fractional_positions": [[0.7500, 0.7500, 0.7500], [0.0000, 0.0000, 0.0000], [0.2500, 0.2500, 0.2500]]}